VASP calculation (GGA-PBE) on an optimized crystal structure of Y2ScTc.

Cell and atoms, written as POSCAR:
```
Y2ScTc
1.0
4.857 0.059 0.000
-0.139 4.855 0.000
0.000 0.000 3.965
Sc Tc Y
1 1 2
direct
0.500 0.000 0.500
0.000 0.500 0.500
0.000 0.000 0.000
0.500 0.500 0.000
```

Energy relative to the elements: 186 meV/atom
SG: Cmmm
Total DFT energy (no corrections): -7.22 eV/atom
DOS at the Fermi energy: 1.402 states/eV per atom
M_tot: 0.00 μB per atom



VASP calculation (GGA-PBE) on an optimized crystal structure of SrFeN2.

Cell and atoms, written as POSCAR:
```
SrFeN2
1.0
5.650 0.000 0.000
-2.825 5.464 0.000
0.000 0.000 7.442
Sr Fe N
4 4 8
direct
0.659 0.319 0.062
0.341 0.681 0.938
0.841 0.681 0.562
0.159 0.319 0.438
0.943 0.886 0.132
0.057 0.114 0.868
0.557 0.114 0.632
0.443 0.886 0.368
0.617 0.233 0.404
0.383 0.767 0.596
0.883 0.767 0.904
0.117 0.233 0.096
0.650 0.800 0.250
0.850 0.200 0.750
0.350 0.200 0.750
0.150 0.800 0.250
```

SG: Cmce
Total DFT energy (no corrections): -7.17 eV/atom
DOS at the Fermi energy: 0.688 states/eV per atom
M_tot: 0.00 μB per atom
Raw formation energy: -470 meV per atom



VASP calculation (GGA-PBE) on an optimized crystal structure of NaGaIr.

Cell and atoms, written as POSCAR:
```
NaGaIr
1.0
-0.965 -0.064 3.027
0.517 -3.134 0.099
5.488 2.521 0.134
Na Ir Ga
1 1 1
direct
0.008 0.008 0.016
0.698 0.698 0.396
0.294 0.294 0.588
```

Energy relative to the elements: -35 meV/atom
SG: I4mm
Total DFT energy (no corrections): -4.44 eV/atom
DOS at the Fermi energy: 0.270 states/eV per atom
M_tot: 0.00 μB per atom



VASP calculation (GGA-PBE) on an optimized crystal structure of EuBi2S4.

Cell and atoms, written as POSCAR:
```
EuBi2S4
1.0
-2.310 0.588 -3.329
5.448 -8.853 -5.344
-10.004 -9.349 5.289
Eu Bi S
4 8 16
direct
0.250 0.263 0.347
0.250 0.763 0.153
0.750 0.737 0.653
0.750 0.237 0.847
0.250 0.066 0.607
0.250 0.566 0.893
0.750 0.934 0.393
0.750 0.434 0.107
0.250 0.105 0.101
0.250 0.605 0.399
0.750 0.895 0.899
0.750 0.395 0.601
0.250 0.332 0.985
0.250 0.832 0.515
0.750 0.668 0.015
0.750 0.168 0.485
0.250 0.263 0.700
0.250 0.763 0.800
0.750 0.737 0.300
0.750 0.237 0.200
0.250 0.061 0.911
0.250 0.561 0.589
0.750 0.939 0.089
0.750 0.439 0.411
0.250 0.013 0.287
0.250 0.513 0.213
0.750 0.987 0.713
0.750 0.487 0.787
```

SG: Pnma
Total DFT energy (no corrections): -5.79 eV/atom
DOS at the Fermi energy: 3.147 states/eV per atom
M_tot: 1.00 μB per atom
Raw formation energy: -857 meV per atom